Density functional theory data (GGA+U) for a geometry-optimized LiVCO4 structure.

Results
Final energy: -51.09 eV per formula unit

Unit cell a=3.183 b=9.373 c=9.451 alpha=90.00 beta=91.55 gamma=90.00
Sites, in units of the cell vectors:
1 Li 0.248 0.191 0.411
2 Li 0.248 0.309 0.911
3 Li 0.752 0.691 0.089
4 Li 0.752 0.809 0.589
5 V 0.260 0.560 0.381
6 V 0.260 0.940 0.881
7 V 0.740 0.060 0.119
8 V 0.740 0.440 0.619
9 C 0.244 0.632 0.832
10 C 0.244 0.868 0.332
11 C 0.756 0.132 0.668
12 C 0.756 0.368 0.168
13 O 0.235 0.509 0.758
14 O 0.235 0.991 0.258
15 O 0.242 0.628 0.965
16 O 0.242 0.872 0.465
17 O 0.249 0.113 0.000
18 O 0.249 0.387 0.500
19 O 0.260 0.749 0.260
20 O 0.260 0.751 0.760
21 O 0.740 0.249 0.240
22 O 0.740 0.251 0.740
23 O 0.751 0.613 0.500
24 O 0.751 0.887 0.000
25 O 0.758 0.128 0.535
26 O 0.758 0.372 0.035
27 O 0.765 0.009 0.742
28 O 0.765 0.491 0.242